Below is BaTeOs2 after structural relaxation, with properties calculated at the PBE level.

Values from the calculation:
- ΔE_f (raw): 1367 meV/atom

Lattice parameters (Å, degrees): 7.1254 7.1254 7.1254 90.00 90.00 90.00
Space group F-43m (No. 216)
One atom of each set of equivalent atoms:
Ba1 0.0000 0.0000 0.0000
Te1 0.2500 0.2500 0.7500
Os1 0.0000 0.0000 0.5000
Os2 0.2500 0.2500 0.2500

***

Below is BaTh2Os after structural relaxation, with properties calculated at the PBE level.

Values from the calculation:
- ΔE_f: 0.01 eV per atom

Lattice parameters (Å, degrees): 4.1598 4.1598 32.9710 90.00 90.00 120.00
Space group R-3m (No. 166, hexagonal axes)
One atom of each set of equivalent atoms:
Ba1 0.0000 0.0000 0.0000
Th1 0.0000 0.0000 0.1219
Os1 0.0000 0.0000 0.5000

***

Below is BaTi2Os after structural relaxation, with properties calculated at the PBE level.

Values from the calculation:
- ΔE_f: 0.66 eV per atom
- Distance to the lowest polymorph of the same formula: 0.0000 eV/atom

Lattice parameters (Å, degrees): 6.7676 6.7676 6.7676 90.00 90.00 90.00
Space group Fm-3m (No. 225)
One atom of each set of equivalent atoms:
Ba1 0.0000 0.0000 0.0000
Ti1 0.2500 0.2500 0.2500
Os1 0.0000 0.0000 0.5000

***

Below is Ba2TiOs2 after structural relaxation, with properties calculated at the PBE level.

Values from the calculation:
- ΔE_f: 0.58 eV per atom

Lattice parameters (Å, degrees): 6.7508 6.7508 5.5292 90.00 90.00 90.00
Space group P4/mbm (No. 127)
One atom of each set of equivalent atoms:
Ba1 0.1788 0.3212 0.0000
Ti1 0.0000 0.0000 0.5000
Os1 0.1274 0.6274 0.5000

***

Below is BaTi3Os after structural relaxation, with properties calculated at the PBE level.

Values from the calculation:
- ΔE_f: 0.35 eV per atom

Lattice parameters (Å, degrees): 4.9436 4.9436 4.9436 90.00 90.00 90.00
Space group Pm-3m (No. 221)
One atom of each set of equivalent atoms:
Ba1 0.0000 0.0000 0.0000
Ti1 0.0000 0.5000 0.5000
Os1 0.5000 0.5000 0.5000

***

Below is Ba3TiOs after structural relaxation, with properties calculated at the PBE level.

Values from the calculation:
- ΔE_f: 1.05 eV per atom

Lattice parameters (Å, degrees): 5.9701 5.9701 5.9701 90.00 90.00 90.00
Space group Pm-3m (No. 221)
One atom of each set of equivalent atoms:
Ba1 0.0000 0.0000 0.5000
Ti1 0.5000 0.5000 0.5000
Os1 0.0000 0.0000 0.0000

***

Below is BaTi2Os after structural relaxation, with properties calculated at the PBE level.

Values from the calculation:
- ΔE_f: 0.80 eV per atom
- Distance to the lowest polymorph of the same formula: 0.1445 eV/atom

Lattice parameters (Å, degrees): 5.3121 5.3121 16.6678 90.00 90.00 90.00
Space group I4_1/amd (No. 141, origin choice 2)
One atom of each set of equivalent atoms:
Ba1 0.0000 0.2500 0.3750
Ti1 0.0000 0.0000 0.0000
Os1 0.0000 0.2500 0.8750

***

Below is BaTl2Os after structural relaxation, with properties calculated at the PBE level.

Values from the calculation:
- ΔE_f: 0.46 eV per atom

Lattice parameters (Å, degrees): 3.5349 3.5349 8.1914 90.00 90.00 90.00
Space group P4/mmm (No. 123)
One atom of each set of equivalent atoms:
Ba1 0.0000 0.0000 0.0000
Tl1 0.5000 0.5000 0.3099
Os1 0.0000 0.0000 0.5000

***

Below is BaTlOs after structural relaxation, with properties calculated at the PBE level.

Values from the calculation:
- ΔE_f: 0.63 eV per atom
- Distance to the lowest polymorph of the same formula: 0.0000 eV/atom

Lattice parameters (Å, degrees): 4.6812 4.6812 4.8101 90.00 90.00 120.00
Space group P-6m2 (No. 187)
One atom of each set of equivalent atoms:
Ba1 0.0000 0.0000 0.0000
Tl1 0.3333 0.6667 0.5000
Os1 0.6667 0.3333 0.5000

***

Below is BaTlOs2 after structural relaxation, with properties calculated at the PBE level.

Values from the calculation:
- ΔE_f: 1.48 eV per atom
- Distance to the lowest polymorph of the same formula: 1.1565 eV/atom

Lattice parameters (Å, degrees): 3.2433 4.8788 5.4489 90.00 90.00 90.00
Space group Pmmm (No. 47)
One atom of each set of equivalent atoms:
Ba1 0.0000 0.0000 0.0000
Tl1 0.5000 0.0000 0.5000
Os1 0.0000 0.5000 0.5000
Os2 0.5000 0.5000 0.0000

***

Below is BaTlOs2 after structural relaxation, with properties calculated at the PBE level.

Values from the calculation:
- ΔE_f: 1.62 eV per atom
- Distance to the lowest polymorph of the same formula: 1.3000 eV/atom

Lattice parameters (Å, degrees): 8.2098 8.2098 5.8167 90.00 90.00 90.00
Space group I-42d (No. 122)
One atom of each set of equivalent atoms:
Ba1 0.0000 0.0000 0.0000
Tl1 0.0000 0.0000 0.5000
Os1 0.2046 0.7500 0.6250

***

Below is BaTlOs2 after structural relaxation, with properties calculated at the PBE level.

Values from the calculation:
- ΔE_f: 1.44 eV per atom
- Distance to the lowest polymorph of the same formula: 1.1206 eV/atom

Lattice parameters (Å, degrees): 3.1030 3.1030 30.1858 90.00 90.00 120.00
Space group R-3m (No. 166, hexagonal axes)
One atom of each set of equivalent atoms:
Ba1 0.0000 0.0000 0.0000
Tl1 0.0000 0.0000 0.5000
Os1 0.0000 0.0000 0.2395

***

Below is BaTl2Os after structural relaxation, with properties calculated at the PBE level.

Values from the calculation:
- ΔE_f: 0.68 eV per atom

Lattice parameters (Å, degrees): 7.4983 7.4983 7.4983 90.00 90.00 90.00
Space group Fm-3m (No. 225)
One atom of each set of equivalent atoms:
Ba1 0.0000 0.0000 0.0000
Tl1 0.2500 0.2500 0.2500
Os1 0.0000 0.0000 0.5000

***

Below is BaTl2Os after structural relaxation, with properties calculated at the PBE level.

Values from the calculation:
- ΔE_f: 0.59 eV per atom

Lattice parameters (Å, degrees): 5.8608 5.8608 17.4294 90.00 90.00 90.00
Space group I-42d (No. 122)
One atom of each set of equivalent atoms:
Ba1 0.0000 0.0000 0.0000
Tl1 0.0407 0.2500 0.6250
Os1 0.0000 0.0000 0.5000

***

Below is BaTlOs after structural relaxation, with properties calculated at the PBE level.

Values from the calculation:
- ΔE_f: 0.90 eV per atom
- Distance to the lowest polymorph of the same formula: 0.2701 eV/atom

Lattice parameters (Å, degrees): 3.8737 3.8737 6.8104 90.00 90.00 120.00
Space group P3m1 (No. 156)
One atom of each set of equivalent atoms:
Ba1 0.0000 0.0000 0.0000
Tl1 0.3333 0.6667 0.5647
Os1 0.6667 0.3333 0.3195

***

Below is BaTl3Os after structural relaxation, with properties calculated at the PBE level.

Values from the calculation:
- ΔE_f: 0.12 eV per atom
- Distance to the lowest polymorph of the same formula: 0.0000 eV/atom

Lattice parameters (Å, degrees): 5.3436 5.3436 5.3436 90.00 90.00 90.00
Space group Pm-3m (No. 221)
One atom of each set of equivalent atoms:
Ba1 0.0000 0.0000 0.0000
Tl1 0.0000 0.5000 0.5000
Os1 0.5000 0.5000 0.5000

***

Below is BaTl4Os after structural relaxation, with properties calculated at the PBE level.

Values from the calculation:
- ΔE_f: 0.68 eV per atom

Lattice parameters (Å, degrees): 8.8328 8.8328 8.8328 90.00 90.00 90.00
Space group F-43m (No. 216)
One atom of each set of equivalent atoms:
Ba1 0.0000 0.0000 0.0000
Tl1 0.1237 0.1237 0.3763
Os1 0.2500 0.2500 0.7500

***

Below is BaTlOs after structural relaxation, with properties calculated at the PBE level.

Values from the calculation:
- ΔE_f: 1.54 eV per atom
- Distance to the lowest polymorph of the same formula: 0.9130 eV/atom

Lattice parameters (Å, degrees): 7.4717 7.4717 7.4717 90.00 90.00 90.00
Space group F-43m (No. 216)
One atom of each set of equivalent atoms:
Ba1 0.0000 0.0000 0.0000
Tl1 0.2500 0.2500 0.2500
Os1 0.2500 0.2500 0.7500

***

Below is BaTlOs2 after structural relaxation, with properties calculated at the PBE level.

Values from the calculation:
- ΔE_f: 1.47 eV per atom
- Distance to the lowest polymorph of the same formula: 1.1452 eV/atom

Lattice parameters (Å, degrees): 4.5230 4.5230 4.2754 90.00 90.00 90.00
Space group P4/mmm (No. 123)
One atom of each set of equivalent atoms:
Ba1 0.0000 0.0000 0.0000
Tl1 0.5000 0.5000 0.0000
Os1 0.0000 0.5000 0.5000

***

Below is BaTl2Os after structural relaxation, with properties calculated at the PBE level.

Values from the calculation:
- ΔE_f: 0.86 eV per atom

Lattice parameters (Å, degrees): 6.5183 11.7505 3.2855 90.00 117.83 90.00
Space group C2/m (No. 12)
One atom of each set of equivalent atoms:
Ba1 0.0000 0.0000 0.0000
Tl1 0.2500 0.2500 0.5000
Os1 0.0000 0.5000 0.0000

***

Energy (computed, eV/atom): -5.51, -6.99, -6.58, -6.26, -7.02, -3.93, -6.43, -4.01, -4.54, -5.21, -5.07, -5.25, -3.79, -3.89, -4.27, -3.93, -3.09, -3.63, -5.22, -3.61